1.
HOs2W | PBE | optimized geometry

abc: 6.1813 6.1813 5.1249
angles: 90.00 90.00 90.00
Space group I-42d (No. 122)
Inequivalent atoms, fractional coordinates:
H 0.0000 0.0000 0.0000 (multiplicity 4)
Os 0.1565 0.2500 0.1250 (multiplicity 8)
W 0.0000 0.0000 0.5000 (multiplicity 4)

Output
Mass density, Mg/m³: 19.18
DOS(E_F), states/eV/f.u.: 4.3
Relative energy among the computed polymorphs, meV per atom: 0


2.
H3OsW | PBE | optimized geometry

abc: 3.4378 3.4378 3.4378
angles: 90.00 90.00 90.00
Space group Pm-3m (No. 221)
Inequivalent atoms, fractional coordinates:
H 0.0000 0.0000 0.5000 (multiplicity 3)
Os 0.0000 0.0000 0.0000 (multiplicity 1)
W 0.5000 0.5000 0.5000 (multiplicity 1)

Output
Mass density, Mg/m³: 15.41
DOS(E_F), states/eV/f.u.: 2.8
Relative energy among the computed polymorphs, meV per atom: 0